1.
A relaxed structure of K2LiTc, computed with GGA-PBEsol.

a = 4.459 Å, b = 5.152 Å, c = 5.391 Å
α = 90.00°, β = 90.00°, γ = 90.00°
Space group Pmmm (No. 47)
Unique sites:
K 0.000 0.000 0.000 x1
K 0.500 0.500 0.000 x1
Li 0.000 0.500 0.500 x1
Tc 0.500 0.000 0.500 x1

ΔH_f (0 K), eV per atom: 1.356
ΔE to the lowest computed polymorph, eV/atom: 0.243
Final energy, eV/atom: -2.519

---

2.
A relaxed structure of Ti3CuPb, computed with GGA-PBEsol.

a = 5.069 Å, b = 5.069 Å, c = 5.069 Å
α = 90.00°, β = 90.00°, γ = 90.00°
Space group Pm-3m (No. 221)
Unique sites:
Ti 0.000 0.000 0.500 x3
Cu 0.500 0.500 0.500 x1
Pb 0.000 0.000 0.000 x1

ΔH_f (0 K), eV per atom: 1.586
Final energy, eV/atom: -5.074

---

3.
A relaxed structure of LiZnCl2, computed with GGA-PBEsol.

a = 5.343 Å, b = 5.326 Å, c = 5.333 Å
α = 90.00°, β = 90.00°, γ = 90.00°
Space group Amm2 (No. 38)
Unique sites:
Li 0.000 0.000 0.000 x2
Zn 0.500 0.000 0.501 x2
Cl 0.000 0.000 0.502 x2
Cl 0.500 0.000 0.001 x2

Formation energy from raw total energies, meV/atom: -993
ΔE to the lowest computed polymorph, eV/atom: 0.000
Final energy, eV/atom: -2.885

---

4.
A relaxed structure of LaTcHg2, computed with GGA-PBEsol.

a = 5.655 Å, b = 8.284 Å, c = 3.661 Å
α = 90.00°, β = 90.00°, γ = 90.00°
Space group Cmmm (No. 65)
Unique sites:
La 0.000 0.000 0.000 x2
Tc 0.000 0.500 0.000 x2
Hg 0.250 0.250 0.500 x4

ΔH_f (0 K), eV per atom: 0.251
ΔE to the lowest computed polymorph, eV/atom: 0.184
Final energy, eV/atom: -4.186